Compound: Hf2CrGa
Source: Alexandria
Functional: PBE
Structure: relaxed

Properties
As for the density: 11.345 g/cm3. The uncorrected energy is -8.35 eV/atom. The calculation puts the formation energy at -0.214 eV per atom. The space group is P4/mmm.

Lattice parameters (Å, degrees): 3.305 3.305 6.416 90.00 90.00 90.00
Positions (direct):
Hf  0.000  0.000  0.234
Hf  0.000  0.000  0.766
Cr  0.500  0.500  0.000
Ga  0.500  0.500  0.500

Compound: HfCrGa2Ir
Source: Alexandria
Functional: PBE
Structure: relaxed

Properties
As for the density: 8.964 g/cm3. The uncorrected energy is -6.37 eV/atom. The calculation puts the formation energy at 0.528 eV per atom. The space group is P4/mmm.

Lattice parameters (Å, degrees): 4.685 4.685 4.745 90.00 90.00 90.00
Positions (direct):
Hf  0.000  0.000  0.000
Cr  0.500  0.500  0.000
Ga  0.000  0.500  0.500
Ga  0.500  0.000  0.500
Ir  0.500  0.500  0.500

We obtain V values of 70.1; 104.1 Å³ per cell for the records listed above, in that order.
We obtain total magnetic moment values of 0.0; 3.0 μB/cell for the records listed above, in that order.